Compound: Y2Mn2Ga2C
Source: the Alexandria database
Functional: GGA-PBE
Structure: relaxed

abc: 3.6491 5.6588 6.3690
angles: 73.67 73.35 71.19
With the nearest neighbours (Å) after each atom.
Sites, in units of the cell vectors:
C: 0.0000 0.0000 0.0000  2 Mn 1.88
Ga: 0.8572 0.6106 0.6750  3 Mn 2.50-2.51, 1 Ga 2.65
Ga: 0.1428 0.3894 0.3250  3 Mn 2.50-2.51, 1 Ga 2.65
Y: 0.5663 0.1491 0.7184  2 C 2.52
Y: 0.4337 0.8509 0.2816  2 C 2.52
Mn: 0.1950 0.6701 0.9399  1 C 1.88
Mn: 0.8050 0.3299 0.0601  1 C 1.88

Computed properties:
ΔH_f (0 K), eV/atom: -0.418
Volume, A^3/atom: 16.67
Raw total energy, eV/atom: -7.07

Compound: Dy2ScPb3
Source: the Alexandria database
Functional: GGA-PBE
Structure: relaxed

abc: 6.3007 6.3230 8.9082
angles: 110.82 100.13 90.03
With the nearest neighbours (Å) after each atom.
Sites, in units of the cell vectors:
Pb: 0.9201 0.7124 0.6763  1 Sc 3.08, 3 Dy 3.15-3.19
Pb: 0.2501 0.3784 0.9998  2 Sc 3.14-3.18, 4 Dy 3.18-3.50, 4 Pb 3.47-3.51
Pb: 0.0799 0.2876 0.3237  1 Sc 3.08, 3 Dy 3.15-3.19
Pb: 0.7499 0.6216 0.0002  2 Sc 3.14-3.18, 4 Dy 3.18-3.50, 4 Pb 3.47-3.51
Pb: 0.4200 0.9640 0.6767  2 Sc 3.08-3.45, 3 Dy 3.15-3.20
Pb: 0.5800 0.0360 0.3233  2 Sc 3.08-3.45, 3 Dy 3.15-3.20
Dy: 0.0918 0.7946 0.3337  6 Pb 3.15-3.50, 1 Sc 3.51
Dy: 0.4083 0.4608 0.6663  6 Pb 3.15-3.50, 1 Sc 3.51
Dy: 0.9082 0.2054 0.6663  6 Pb 3.15-3.50, 1 Sc 3.51
Dy: 0.5917 0.5392 0.3337  6 Pb 3.15-3.50, 1 Sc 3.51
Sc: 0.2499 0.8811 0.9999  5 Pb 3.08-3.45
Sc: 0.7501 0.1189 0.0001  5 Pb 3.08-3.45

Computed properties:
ΔH_f (0 K), eV/atom: -0.456
Volume, A^3/atom: 27.15
Raw total energy, eV/atom: -4.90